Run A
Below is a relaxed Mg2SeBr crystal, with properties calculated at the PBE level.

Density of states at the Fermi level = 2.8 states/eV per cell
Theoretical density = 3.28 Mg/m³
Crystal system = monoclinic

The structure in CIF format:
```
data_Mg2SeBr
_space_group_name_H-M_alt 'C 1 m 1'
_space_group_IT_number 8
_cell_length_a 14.612
_cell_length_b 3.813
_cell_length_c 3.917
_cell_angle_alpha 90.00
_cell_angle_beta 105.51
_cell_angle_gamma 90.00
loop_
_space_group_symop_operation_xyz
'x,y,z'
'x,-y,z'
'x+1/2,y+1/2,z'
'x+1/2,-y+1/2,z'
loop_
_atom_site_label
_atom_site_type_symbol
_atom_site_fract_x
_atom_site_fract_y
_atom_site_fract_z
Mg1 Mg 0.000 0.000 0.000
Mg2 Mg 0.177 0.000 0.678
Se1 Se 0.034 0.500 0.533
Br1 Br 0.309 0.500 0.797
```

***

Run B
Below is a relaxed Mg2SeBr crystal, with properties calculated at the PBE level.

Density of states at the Fermi level = 1.4 states/eV per cell
Theoretical density = 3.45 Mg/m³
Crystal system = orthorhombic

The structure in CIF format:
```
data_Mg2SeBr
_space_group_name_H-M_alt 'P m m m'
_space_group_IT_number 47
_cell_length_a 3.807
_cell_length_b 3.949
_cell_length_c 6.634
_cell_angle_alpha 90.00
_cell_angle_beta 90.00
_cell_angle_gamma 90.00
loop_
_space_group_symop_operation_xyz
'x,y,z'
'-x,-y,-z'
'-x,-y,z'
'x,y,-z'
'x,-y,-z'
'-x,y,z'
'-x,y,-z'
'x,-y,z'
loop_
_atom_site_label
_atom_site_type_symbol
_atom_site_fract_x
_atom_site_fract_y
_atom_site_fract_z
Mg1 Mg 0.000 0.000 0.000
Mg2 Mg 0.000 0.500 0.500
Se1 Se 0.500 0.000 0.500
Br1 Br 0.500 0.500 0.000
```

***

Run C
Below is a relaxed Mg2SeBr crystal, with properties calculated at the PBE level.

Density of states at the Fermi level = 2.3 states/eV per cell
Theoretical density = 3.40 Mg/m³
Crystal system = orthorhombic

The structure in CIF format:
```
data_Mg2SeBr
_space_group_name_H-M_alt 'I m m m'
_space_group_IT_number 71
_space_group_name_Hall '-I 2 2'
_cell_length_a 3.916
_cell_length_b 6.778
_cell_length_c 7.641
_cell_angle_alpha 90.00
_cell_angle_beta 90.00
_cell_angle_gamma 90.00
loop_
_atom_site_label
_atom_site_type_symbol
_atom_site_fract_x
_atom_site_fract_y
_atom_site_fract_z
Mg1 Mg 0.000 0.000 0.234
Se1 Se 0.000 0.500 0.500
Br1 Br 0.000 0.500 0.000
```

***

Run D
Below is a relaxed Mg2SeBr crystal, with properties calculated at the PBE level.

Density of states at the Fermi level = 1.7 states/eV per cell
Theoretical density = 3.60 Mg/m³
Crystal system = tetragonal

The structure in CIF format:
```
data_Mg2SeBr
_space_group_name_H-M_alt 'P 4/m m m'
_space_group_IT_number 123
_space_group_name_Hall '-P 4 2'
_cell_length_a 4.088
_cell_length_b 4.088
_cell_length_c 5.727
_cell_angle_alpha 90.00
_cell_angle_beta 90.00
_cell_angle_gamma 90.00
loop_
_atom_site_label
_atom_site_type_symbol
_atom_site_fract_x
_atom_site_fract_y
_atom_site_fract_z
Mg1 Mg 0.000 0.000 0.000
Mg2 Mg 0.500 0.500 0.500
Se1 Se 0.000 0.000 0.500
Br1 Br 0.500 0.500 0.000
```

***

Energy ordering: run A at the bottom, the next structure 51 meV/atom above.

***

Run A
Below is a relaxed Mg2SeBr crystal, with properties calculated at the PBE level.

Density of states at the Fermi level = 5.6 states/eV per cell
Theoretical density = 4.01 Mg/m³
Crystal system = cubic

The structure in CIF format:
```
data_Mg2SeBr
_space_group_name_H-M_alt 'F m -3 m'
_space_group_IT_number 225
_space_group_name_Hall '-F 4 2 3'
_cell_length_a 7.005
_cell_length_b 7.005
_cell_length_c 7.005
_cell_angle_alpha 90.00
_cell_angle_beta 90.00
_cell_angle_gamma 90.00
loop_
_atom_site_label
_atom_site_type_symbol
_atom_site_fract_x
_atom_site_fract_y
_atom_site_fract_z
Mg1 Mg 0.250 0.250 0.250
Se1 Se 0.000 0.000 0.000
Br1 Br 0.000 0.000 0.500
```

***

Run B
Below is a relaxed Mg2SeBr crystal, with properties calculated at the PBE level.

Density of states at the Fermi level = 3.6 states/eV per cell
Theoretical density = 3.54 Mg/m³
Crystal system = monoclinic

The structure in CIF format:
```
data_Mg2SeBr
_space_group_name_H-M_alt 'C 1 2/m 1'
_space_group_IT_number 12
_cell_length_a 6.973
_cell_length_b 4.084
_cell_length_c 7.234
_cell_angle_alpha 90.00
_cell_angle_beta 108.91
_cell_angle_gamma 90.00
loop_
_space_group_symop_operation_xyz
'x,y,z'
'-x,-y,-z'
'-x,y,-z'
'x,-y,z'
'x+1/2,y+1/2,z'
'-x+1/2,-y+1/2,-z'
'-x+1/2,y+1/2,-z'
'x+1/2,-y+1/2,z'
loop_
_atom_site_label
_atom_site_type_symbol
_atom_site_fract_x
_atom_site_fract_y
_atom_site_fract_z
Mg1 Mg 0.238 0.000 0.219
Se1 Se 0.000 0.500 0.000
Br1 Br 0.000 0.000 0.500
```

***

Run C
Below is a relaxed Mg2SeBr crystal, with properties calculated at the PBE level.

Density of states at the Fermi level = 3.9 states/eV per cell
Theoretical density = 3.52 Mg/m³
Crystal system = orthorhombic

The structure in CIF format:
```
data_Mg2SeBr
_space_group_name_H-M_alt 'I m m 2'
_space_group_IT_number 44
_cell_length_a 3.721
_cell_length_b 3.749
_cell_length_c 14.018
_cell_angle_alpha 90.00
_cell_angle_beta 90.00
_cell_angle_gamma 90.00
loop_
_space_group_symop_operation_xyz
'x,y,z'
'-x,-y,z'
'-x,y,z'
'x,-y,z'
'x+1/2,y+1/2,z+1/2'
'-x+1/2,-y+1/2,z+1/2'
'-x+1/2,y+1/2,z+1/2'
'x+1/2,-y+1/2,z+1/2'
loop_
_atom_site_label
_atom_site_type_symbol
_atom_site_fract_x
_atom_site_fract_y
_atom_site_fract_z
Mg1 Mg 0.000 0.000 0.000
Mg2 Mg 0.000 0.500 0.302
Se1 Se 0.000 0.500 0.849
Br1 Br 0.000 0.000 0.599
```

***

Energy ordering: run B at the bottom, the next structure 89 meV/atom above.

***

Run A
Below is a relaxed MgSeBr crystal, with properties calculated at the PBE level.

Density of states at the Fermi level = 14.0 states/eV per cell
Theoretical density = 3.69 Mg/m³
Crystal system = cubic

The structure in CIF format:
```
data_MgSeBr
_space_group_name_H-M_alt 'F -4 3 m'
_space_group_IT_number 216
_space_group_name_Hall 'F -4 2 3'
_cell_length_a 6.910
_cell_length_b 6.910
_cell_length_c 6.910
_cell_angle_alpha 90.00
_cell_angle_beta 90.00
_cell_angle_gamma 90.00
loop_
_atom_site_label
_atom_site_type_symbol
_atom_site_fract_x
_atom_site_fract_y
_atom_site_fract_z
Mg1 Mg 0.000 0.000 0.000
Se1 Se 0.250 0.250 0.750
Br1 Br 0.000 0.000 0.500
```

***

Run B
Below is a relaxed MgSeBr crystal, with properties calculated at the PBE level.

Density of states at the Fermi level = 2.2 states/eV per cell
Theoretical density = 3.37 Mg/m³
Crystal system = tetragonal

The structure in CIF format:
```
data_MgSeBr
_space_group_name_H-M_alt 'I 4 m m'
_space_group_IT_number 107
_space_group_name_Hall 'I 4 -2'
_cell_length_a 3.288
_cell_length_b 3.288
_cell_length_c 16.693
_cell_angle_alpha 90.00
_cell_angle_beta 90.00
_cell_angle_gamma 90.00
loop_
_atom_site_label
_atom_site_type_symbol
_atom_site_fract_x
_atom_site_fract_y
_atom_site_fract_z
Mg1 Mg 0.000 0.000 0.000
Se1 Se 0.000 0.000 0.390
Br1 Br 0.000 0.000 0.597
```

***

Energy ordering: run B at the bottom, the next structure 502 meV/atom above.

***

Run A
Below is a relaxed MgSeBr crystal, with properties calculated at the PBE level.

Density of states at the Fermi level = 14.4 states/eV per cell
Theoretical density = 4.05 Mg/m³
Crystal system = cubic

The structure in CIF format:
```
data_MgSeBr
_space_group_name_H-M_alt 'F -4 3 m'
_space_group_IT_number 216
_space_group_name_Hall 'F -4 2 3'
_cell_length_a 6.698
_cell_length_b 6.698
_cell_length_c 6.698
_cell_angle_alpha 90.00
_cell_angle_beta 90.00
_cell_angle_gamma 90.00
loop_
_atom_site_label
_atom_site_type_symbol
_atom_site_fract_x
_atom_site_fract_y
_atom_site_fract_z
Mg1 Mg 0.000 0.000 0.000
Se1 Se 0.250 0.250 0.750
Br1 Br 0.250 0.250 0.250
```

***

Run B
Below is a relaxed MgSeBr crystal, with properties calculated at the PBE level.

Density of states at the Fermi level = 1.5 states/eV per cell
Theoretical density = 3.47 Mg/m³
Crystal system = orthorhombic

The structure in CIF format:
```
data_MgSeBr
_space_group_name_H-M_alt 'F m m 2'
_space_group_IT_number 42
_space_group_name_Hall 'F 2 -2'
_cell_length_a 3.821
_cell_length_b 5.727
_cell_length_c 16.036
_cell_angle_alpha 90.00
_cell_angle_beta 90.00
_cell_angle_gamma 90.00
loop_
_atom_site_label
_atom_site_type_symbol
_atom_site_fract_x
_atom_site_fract_y
_atom_site_fract_z
Mg1 Mg 0.000 0.000 0.000
Se1 Se 0.000 0.000 0.382
Br1 Br 0.000 0.000 0.608
```

***

Energy ordering: run B at the bottom, the next structure 129 meV/atom above.